# 1
18
Lattice="8.9783 1.7103 1.2131 5.9211 6.9624 1.2131 5.9211 3.4466 6.1699" Properties=species:S:1:pos:R:3 comment="Nd2TaCu3Ni12 PBE optimized geometry" spacegroup="No. 166" volume_a3_per_atom=15.1 total_magnetization_mub_per_fu=0.0 formation_enthalpy_0k_ev_per_fu=4.10 pbc="T T T"
Ni 4.8704 4.8125 1.3181
Ni 9.7915 5.6995 2.6051
Ni 8.6118 6.3695 4.5178
Ni 4.8704 2.8350 4.1062
Ni 9.7915 4.3428 4.5178
Ni 15.9502 7.3067 7.2780
Ni 11.0290 6.4198 5.9910
Ni 12.2087 5.7498 4.0783
Ni 11.0290 7.7765 4.0783
Ni 15.9502 9.2843 4.4899
Ni 6.5900 1.8584 1.3181
Ni 14.2306 10.2609 7.2780
Nd 13.5269 7.8738 5.5848
Nd 7.2936 4.2455 3.0113
Cu 2.9606 3.4812 0.6066
Cu 2.9606 1.7233 3.0849
Cu 4.4891 0.8552 0.6066
Ta 0.0000 0.0000 0.0000

# 2
18
Lattice="-4.5837 1.5916 -4.0658 1.1681 -4.4436 -4.3548 -4.3196 -4.2089 1.9237" Properties=species:S:1:pos:R:3 comment="Nd2TiCu3Ni12 PBE optimized geometry" spacegroup="No. 166" volume_a3_per_atom=13.8 total_magnetization_mub_per_fu=0.0 formation_enthalpy_0k_ev_per_fu=0.10 pbc="T T T"
Ni -5.0513 -2.1818 -1.8902
Ni -2.6839 -4.8792 -4.6068
Ni -3.9609 -0.5580 -3.4411
Ni -5.2198 -2.2183 -4.4794
Ni -0.9159 -3.7530 -3.5941
Ni -3.7743 -6.5029 -3.0558
Ni -2.6319 -2.2852 -4.6583
Ni -2.5154 -4.8426 -2.0176
Ni -3.8211 -3.6288 -0.2703
Ni -5.1034 -4.7757 -1.8387
Ni -6.8193 -3.3079 -2.9028
Ni -3.9141 -3.4322 -6.2267
Cu 0.5840 -2.2218 -2.1774
Cu -2.1598 -2.1044 0.9618
Cu -2.2918 0.7958 -2.0329
Nd -2.2305 -2.0361 -1.8735
Nd -5.5047 -5.0248 -4.6235
Ti 0.0000 0.0000 0.0000

# 3
4
Lattice="4.7943 0.0000 0.0000 2.3971 4.1520 0.0000 2.3971 1.3840 3.9145" Properties=species:S:1:pos:R:3 comment="NdTlCuNi PBE optimized geometry" spacegroup="No. 216" volume_a3_per_atom=19.5 total_magnetization_mub_per_fu=0.0 formation_enthalpy_0k_ev_per_fu=-0.44 pbc="T T T"
Cu 2.3971 1.3840 0.9786
Tl 4.7943 2.7680 1.9573
Ni 7.1914 4.1520 2.9359
Nd 0.0000 0.0000 0.0000

Please write out number 1 again, unchanged.
18
Lattice="8.9783 1.7103 1.2131 5.9211 6.9624 1.2131 5.9211 3.4466 6.1699" Properties=species:S:1:pos:R:3 comment="Nd2TaCu3Ni12 PBE optimized geometry" spacegroup="No. 166" volume_a3_per_atom=15.1 total_magnetization_mub_per_fu=0.0 formation_enthalpy_0k_ev_per_fu=4.10 pbc="T T T"
Ni 4.8704 4.8125 1.3181
Ni 9.7915 5.6995 2.6051
Ni 8.6118 6.3695 4.5178
Ni 4.8704 2.8350 4.1062
Ni 9.7915 4.3428 4.5178
Ni 15.9502 7.3067 7.2780
Ni 11.0290 6.4198 5.9910
Ni 12.2087 5.7498 4.0783
Ni 11.0290 7.7765 4.0783
Ni 15.9502 9.2843 4.4899
Ni 6.5900 1.8584 1.3181
Ni 14.2306 10.2609 7.2780
Nd 13.5269 7.8738 5.5848
Nd 7.2936 4.2455 3.0113
Cu 2.9606 3.4812 0.6066
Cu 2.9606 1.7233 3.0849
Cu 4.4891 0.8552 0.6066
Ta 0.0000 0.0000 0.0000